Entry 1:
DFT (PBE) results for crystalline DyAlPt3 at its relaxed geometry.

abc: 6.049 6.454 5.101
angles: 90.00 90.00 90.00
Element x y z (fractional)
Dy 0.000 0.000 0.000
Dy 0.500 0.500 0.000
Al 0.000 0.500 0.500
Al 0.500 0.000 0.500
Pt 0.000 0.500 0.000
Pt 0.143 0.157 0.500
Pt 0.357 0.657 0.500
Pt 0.500 0.000 0.000
Pt 0.643 0.343 0.500
Pt 0.857 0.843 0.500

Its total energy is -6.031 eV/atom. The formation energy is -0.7373 eV/atom.


Entry 2:
DFT (PBE) results for crystalline DyAl2Pt9 at its relaxed geometry.

abc: 4.005 4.005 11.879
angles: 90.00 90.00 90.00
Element x y z (fractional)
Dy 0.000 0.000 0.000
Al 0.000 0.000 0.339
Al 0.000 0.000 0.661
Pt 0.000 0.500 0.181
Pt 0.000 0.500 0.500
Pt 0.000 0.500 0.819
Pt 0.500 0.000 0.181
Pt 0.500 0.000 0.500
Pt 0.500 0.000 0.819
Pt 0.500 0.500 0.000
Pt 0.500 0.500 0.340
Pt 0.500 0.500 0.660

Its total energy is -6.332 eV/atom. The formation energy is -0.7943 eV/atom.


Entry 3:
DFT (PBE) results for crystalline Dy8Al2Pt at its relaxed geometry.

abc: 9.666 9.666 6.602
angles: 102.74 102.74 29.95
Element x y z (fractional)
Dy 0.023 0.023 0.278
Dy 0.213 0.213 0.810
Dy 0.349 0.349 0.522
Dy 0.408 0.408 0.045
Dy 0.592 0.592 0.955
Dy 0.651 0.651 0.478
Dy 0.787 0.787 0.190
Dy 0.977 0.977 0.722
Al 0.187 0.187 0.254
Al 0.813 0.813 0.746
Pt 0.500 0.500 0.500

Its total energy is -4.941 eV/atom. The formation energy is -0.3644 eV/atom.


Entry 4:
DFT (PBE) results for crystalline Dy2AlPt4 at its relaxed geometry.

abc: 8.192 5.471 7.720
angles: 90.00 119.08 90.00
Element x y z (fractional)
Dy 0.127 0.000 0.289
Dy 0.373 0.500 0.711
Dy 0.627 0.500 0.289
Dy 0.873 0.000 0.711
Al 0.000 0.500 0.000
Al 0.500 0.000 0.000
Pt 0.014 0.500 0.338
Pt 0.250 0.250 0.000
Pt 0.250 0.750 0.000
Pt 0.486 0.000 0.662
Pt 0.514 0.000 0.338
Pt 0.750 0.250 0.000
Pt 0.750 0.750 0.000
Pt 0.986 0.500 0.662

Its total energy is -6.291 eV/atom. The formation energy is -0.9893 eV/atom.


Entry 5:
DFT (PBE) results for crystalline Dy6Al2Pt at its relaxed geometry.

abc: 9.761 9.761 4.960
angles: 90.00 90.00 90.00
Element x y z (fractional)
Dy 0.029 0.305 0.000
Dy 0.118 0.882 0.500
Dy 0.195 0.529 0.500
Dy 0.305 0.029 0.000
Dy 0.382 0.382 0.000
Dy 0.471 0.805 0.500
Dy 0.529 0.195 0.500
Dy 0.618 0.618 0.000
Dy 0.695 0.971 0.000
Dy 0.805 0.471 0.500
Dy 0.882 0.118 0.500
Dy 0.971 0.695 0.000
Al 0.209 0.209 0.500
Al 0.291 0.709 0.000
Al 0.709 0.291 0.000
Al 0.791 0.791 0.500
Pt 0.000 0.000 0.000
Pt 0.500 0.500 0.500

Its total energy is -5.004 eV/atom. The formation energy is -0.4328 eV/atom.


Entry 6:
DFT (PBE) results for crystalline Dy3Al2Pt6 at its relaxed geometry.

abc: 8.231 8.231 8.231
angles: 109.47 109.47 109.47
Element x y z (fractional)
Dy 0.000 0.299 0.299
Dy 0.000 0.701 0.701
Dy 0.299 0.000 0.299
Dy 0.299 0.299 0.000
Dy 0.701 0.000 0.701
Dy 0.701 0.701 0.000
Al 0.000 0.000 0.500
Al 0.000 0.500 0.000
Al 0.500 0.000 0.000
Al 0.500 0.500 0.500
Pt 0.000 0.321 0.679
Pt 0.000 0.679 0.321
Pt 0.321 0.000 0.679
Pt 0.321 0.321 0.641
Pt 0.321 0.641 0.321
Pt 0.321 0.679 0.000
Pt 0.359 0.679 0.679
Pt 0.641 0.321 0.321
Pt 0.679 0.000 0.321
Pt 0.679 0.321 0.000
Pt 0.679 0.359 0.679
Pt 0.679 0.679 0.359

Its total energy is -6.376 eV/atom. The formation energy is -1.1458 eV/atom.


Entry 7:
DFT (PBE) results for crystalline Dy2Al5Pt at its relaxed geometry.

abc: 5.970 5.970 8.485
angles: 90.00 90.00 90.00
Element x y z (fractional)
Dy 0.000 0.500 0.000
Dy 0.000 0.500 0.500
Dy 0.500 0.000 0.000
Dy 0.500 0.000 0.500
Al 0.000 0.000 0.000
Al 0.250 0.250 0.250
Al 0.250 0.250 0.750
Al 0.250 0.750 0.250
Al 0.250 0.750 0.750
Al 0.500 0.500 0.500
Al 0.750 0.250 0.250
Al 0.750 0.250 0.750
Al 0.750 0.750 0.250
Al 0.750 0.750 0.750
Pt 0.000 0.000 0.500
Pt 0.500 0.500 0.000

Its total energy is -4.799 eV/atom. The formation energy is -0.5546 eV/atom.


Entry 8:
DFT (PBE) results for crystalline Dy3AlPt12 at its relaxed geometry.

abc: 4.087 4.087 16.166
angles: 90.00 90.00 90.00
Element x y z (fractional)
Dy 0.000 0.000 0.000
Dy 0.000 0.000 0.256
Dy 0.000 0.000 0.744
Al 0.000 0.000 0.500
Pt 0.000 0.500 0.128
Pt 0.000 0.500 0.387
Pt 0.000 0.500 0.613
Pt 0.000 0.500 0.872
Pt 0.500 0.000 0.128
Pt 0.500 0.000 0.387
Pt 0.500 0.000 0.613
Pt 0.500 0.000 0.872
Pt 0.500 0.500 0.000
Pt 0.500 0.500 0.258
Pt 0.500 0.500 0.500
Pt 0.500 0.500 0.742

Its total energy is -6.568 eV/atom. The formation energy is -0.9407 eV/atom.


Entry 9:
DFT (PBE) results for crystalline Dy2Al9Pt3 at its relaxed geometry.

abc: 7.651 7.651 10.416
angles: 111.47 111.47 59.87
Element x y z (fractional)
Dy 0.085 0.253 0.250
Dy 0.253 0.085 0.750
Dy 0.747 0.915 0.250
Dy 0.915 0.747 0.750
Al 0.025 0.859 0.076
Al 0.141 0.975 0.424
Al 0.192 0.358 0.573
Al 0.212 0.582 0.252
Al 0.312 0.481 0.938
Al 0.358 0.192 0.073
Al 0.373 0.627 0.750
Al 0.418 0.788 0.248
Al 0.481 0.312 0.438
Al 0.519 0.688 0.562
Al 0.582 0.212 0.752
Al 0.627 0.373 0.250
Al 0.642 0.808 0.927
Al 0.688 0.519 0.062
Al 0.788 0.418 0.748
Al 0.808 0.642 0.427
Al 0.859 0.025 0.576
Al 0.975 0.141 0.924
Pt 0.000 0.500 0.000
Pt 0.157 0.672 0.500
Pt 0.328 0.843 0.000
Pt 0.500 0.000 0.500
Pt 0.672 0.157 0.000
Pt 0.843 0.328 0.500

Its total energy is -5.203 eV/atom. The formation energy is -0.8455 eV/atom.


Entry 10:
DFT (PBE) results for crystalline Dy2Al4RuPt3 at its relaxed geometry.

abc: 4.273 4.273 10.077
angles: 90.00 90.00 90.00
Element x y z (fractional)
Dy 0.000 0.500 0.236
Dy 0.500 0.000 0.764
Al 0.000 0.000 0.500
Al 0.000 0.500 0.877
Al 0.500 0.000 0.123
Al 0.500 0.500 0.500
Ru 0.500 0.500 0.000
Pt 0.000 0.000 0.000
Pt 0.000 0.500 0.634
Pt 0.500 0.000 0.366

Its total energy is -6.180 eV/atom. The formation energy is -1.0231 eV/atom.


Entry 11:
DFT (PBE) results for crystalline Dy2ScAl2Pt5 at its relaxed geometry.

abc: 9.948 9.948 3.685
angles: 90.00 90.00 90.00
Element x y z (fractional)
Dy 0.176 0.324 0.000
Dy 0.324 0.824 0.000
Dy 0.676 0.176 0.000
Dy 0.824 0.676 0.000
Sc 0.000 0.000 0.000
Sc 0.500 0.500 0.000
Al 0.123 0.623 0.000
Al 0.377 0.123 0.000
Al 0.623 0.877 0.000
Al 0.877 0.377 0.000
Pt 0.000 0.500 0.500
Pt 0.065 0.791 0.500
Pt 0.209 0.065 0.500
Pt 0.291 0.565 0.500
Pt 0.435 0.291 0.500
Pt 0.500 0.000 0.500
Pt 0.565 0.709 0.500
Pt 0.709 0.435 0.500
Pt 0.791 0.935 0.500
Pt 0.935 0.209 0.500

Its total energy is -6.448 eV/atom. The formation energy is -1.1253 eV/atom.


Entry 12:
DFT (PBE) results for crystalline Dy2ScAl3Pt4 at its relaxed geometry.

abc: 4.157 4.157 11.111
angles: 90.00 90.00 90.00
Element x y z (fractional)
Dy 0.000 0.500 0.238
Dy 0.500 0.000 0.762
Sc 0.000 0.000 0.500
Al 0.000 0.500 0.873
Al 0.500 0.000 0.127
Al 0.500 0.500 0.500
Pt 0.000 0.000 0.000
Pt 0.000 0.500 0.650
Pt 0.500 0.000 0.350
Pt 0.500 0.500 0.000

Its total energy is -6.189 eV/atom. The formation energy is -1.0964 eV/atom.